Computed, not measured: CoHgNO after structural relaxation at the GGA+U level of DFT.

Cell lengths 4.016, 4.016, 7.235 Å; angles 90.00, 90.00, 90.00 degrees
Positions (direct):
Co 0.250 0.250 0.072
Co 0.750 0.750 0.928
Hg 0.250 0.750 0.500
Hg 0.750 0.250 0.500
N 0.250 0.250 0.326
N 0.750 0.750 0.674
O 0.250 0.750 0.000
O 0.750 0.250 0.000

Output
energy: -4.26 eV/atom
total magnetization: 0.962 μB/atom